Computed, not measured: an optimized crystal structure of KRb2HAu at the PBE-GGA level of DFT.

abc: 5.714 5.714 5.309
angles: 90.00 90.00 90.00
Space group P4/mmm (No. 123)
Asymmetric unit:
1 K 0.000 0.000 0.000 [1 per cell]
2 Rb 0.000 0.500 0.500 [2 per cell]
3 H 0.000 0.000 0.500 [1 per cell]
4 Au 0.500 0.500 0.000 [1 per cell]

Values from the calculation:
E_tot: -0.15047 Ry per atom
Energy above the lowest structure with this stoichiometry: 0 kJ/mol of formula units